Pr5Sm4Y4: relaxed, PBE.

The space group is I4/m (No. 87) and the conventional cell measures 13.1591, 13.1591 and 5.1432 Å, with angles of 90.00, 90.00 and 90.00 degrees. Symmetry generates all atoms from Pr at (0.0000, 0.0000, 0.0000), Pr at (0.0383, 0.1946, 0.5000), Sm at (0.1550, 0.7677, 0.0000) and Y at (0.0759, 0.3860, 0.0000).

The volume is 445.30 Å³/f.u. The calculation puts the formation energy at 15 meV/atom.



PrSm6Y8: relaxed, PBE.

The space group is R-3 (No. 148, hexagonal axes) and the conventional cell measures 9.1380, 9.1380 and 20.9349 Å, with angles of 90.00, 90.00 and 120.00 degrees. Symmetry generates all atoms from Pr at (0.0000, 0.0000, 0.0000), Sm at (0.0611, 0.2465, 0.7090), Y at (0.0000, 0.0000, 0.4231) and Y at (0.0807, 0.5553, 0.8080).

The volume is 504.64 Å³/f.u. The calculation puts the formation energy at 125 meV/atom.



Pr12Sm7Y: relaxed, PBE.

The space group is R-3 (No. 148, hexagonal axes) and the conventional cell measures 12.4455, 12.4455 and 16.0088 Å, with angles of 90.00, 90.00 and 120.00 degrees. Symmetry generates all atoms from Pr at (0.0216, 0.4458, 0.2216), Pr at (0.0585, 0.5911, 0.5804), Sm at (0.0000, 0.0000, 0.0000), Sm at (0.0561, 0.1870, 0.2977) and Y at (0.0000, 0.0000, 0.5000).

The volume is 715.80 Å³/f.u. The calculation puts the formation energy at 217 meV/atom.



Pr8Sm2Y: relaxed, PBE.

The space group is C2/m (No. 12) and the conventional cell measures 18.7808, 5.2203 and 8.2476 Å, with angles of 90.00, 105.21 and 90.00 degrees. Symmetry generates all atoms from Pr at (0.0461, 0.0000, 0.2285), Pr at (0.0911, 0.5000, 0.9532), Pr at (0.1368, 0.0000, 0.6835), Pr at (0.1816, 0.5000, 0.4099), Sm at (0.2270, 0.0000, 0.1353) and Y at (0.0000, 0.5000, 0.5000).

The volume is 390.13 Å³/f.u. The calculation puts the formation energy at 12 meV/atom.



Pr2Sm2Y3: relaxed, PBE.

The space group is C2/m (No. 12) and the conventional cell measures 17.0938, 3.5231 and 8.9028 Å, with angles of 90.00, 116.66 and 90.00 degrees. Symmetry generates all atoms from Pr at (0.0786, 0.0000, 0.2037), Sm at (0.1393, 0.5000, 0.9084), Y at (0.0000, 0.0000, 0.5000) and Y at (0.2202, 0.0000, 0.6462).

The volume is 239.58 Å³/f.u. The calculation puts the formation energy at 130 meV/atom.



PrSm8Y3: relaxed, PBE.

The space group is P1 (No. 1) and the conventional cell measures 6.6875, 8.5618 and 8.5871 Å, with angles of 102.62, 109.61 and 109.53 degrees. Symmetry generates all atoms from Pr at (0.0000, 0.0000, 0.0000), Sm at (0.0047, 0.4110, 0.9293), Sm at (0.0061, 0.0769, 0.5934), Sm at (0.0060, 0.3369, 0.3351), Sm at (0.4997, 0.8555, 0.1475), Sm at (0.5023, 0.1151, 0.8861), Sm at (0.5060, 0.4497, 0.2218), Sm at (0.5086, 0.1912, 0.4836), Sm at (0.9985, 0.7429, 0.2607), Y at (0.0040, 0.6682, 0.6660), Y at (0.5010, 0.5220, 0.8130) and Y at (0.5014, 0.7814, 0.5515).

The volume is 405.08 Å³/f.u. The calculation puts the formation energy at 45 meV/atom.



Pr2Sm5Y3: relaxed, PBE.

The space group is Ibam (No. 72) and the conventional cell measures 9.5222, 21.9319 and 6.9178 Å, with angles of 90.00, 90.00 and 90.00 degrees. Symmetry generates all atoms from Pr at (0.1012, 0.1265, 0.0000), Sm at (0.0000, 0.2516, 0.2500), Sm at (0.0000, 0.5000, 0.2500), Sm at (0.0933, 0.3763, 0.5000), Y at (0.0000, 0.0000, 0.2500) and Y at (0.2496, 0.1231, 0.5000).

The volume is 361.18 Å³/f.u. The calculation puts the formation energy at 369 meV/atom.



Pr7Sm2Y2: relaxed, PBE.

The space group is C2/m (No. 12) and the conventional cell measures 10.1371, 9.6084 and 8.4117 Å, with angles of 90.00, 105.52 and 90.00 degrees. Symmetry generates all atoms from Pr at (0.0000, 0.0000, 0.0000), Pr at (0.1996, 0.2970, 0.1773), Pr at (0.2191, 0.5000, 0.5280), Sm at (0.0803, 0.5000, 0.8234) and Y at (0.0000, 0.2079, 0.5000).

The volume is 394.72 Å³/f.u. The calculation puts the formation energy at 154 meV/atom.



PrSm12Y3: relaxed, PBE.

The space group is P4/mmm (No. 123) and the conventional cell measures 5.1242, 5.1242 and 20.4806 Å, with angles of 90.00, 90.00 and 90.00 degrees. Symmetry generates all atoms from Pr at (0.0000, 0.0000, 0.0000), Sm at (0.0000, 0.5000, 0.1264), Sm at (0.0000, 0.5000, 0.3754), Sm at (0.5000, 0.5000, 0.0000), Sm at (0.5000, 0.5000, 0.2516), Sm at (0.5000, 0.5000, 0.5000), Y at (0.0000, 0.0000, 0.2510) and Y at (0.0000, 0.0000, 0.5000).

The volume is 537.77 Å³/f.u. The calculation puts the formation energy at 16 meV/atom.



Pr6Sm2Y5: relaxed, PBE.

The space group is Pbam (No. 55) and the conventional cell measures 11.8656, 20.8260 and 3.6804 Å, with angles of 90.00, 90.00 and 90.00 degrees. Symmetry generates all atoms from Pr at (0.0624, 0.0774, 0.0000), Pr at (0.0802, 0.3650, 0.0000), Pr at (0.1747, 0.6312, 0.5000), Sm at (0.1682, 0.7863, 0.0000), Y at (0.0000, 0.5000, 0.5000), Y at (0.0918, 0.2235, 0.5000) and Y at (0.1983, 0.9423, 0.5000).

The volume is 454.74 Å³/f.u. The calculation puts the formation energy at 98 meV/atom.



Pr12SmY6: relaxed, PBE.

The space group is R-3 (No. 148, hexagonal axes) and the conventional cell measures 12.3157, 12.3157 and 15.4377 Å, with angles of 90.00, 90.00 and 120.00 degrees. Symmetry generates all atoms from Pr at (0.0028, 0.8297, 0.1924), Pr at (0.0478, 0.8497, 0.4167), Sm at (0.0000, 0.0000, 0.0000) and Y at (0.0157, 0.4278, 0.6876).

The volume is 675.94 Å³/f.u. The calculation puts the formation energy at 126 meV/atom.



Pr3Sm2Y7: relaxed, PBE.

The space group is P2/m (No. 10) and the conventional cell measures 3.6771, 5.6836 and 20.7309 Å, with angles of 90.00, 95.09 and 90.00 degrees. Symmetry generates all atoms from Pr at (0.0000, 0.0000, 0.0000), Pr at (0.3302, 0.5000, 0.6609), Sm at (0.1372, 0.0000, 0.2738), Y at (0.0842, 0.5000, 0.1680), Y at (0.2152, 0.0000, 0.4304), Y at (0.4327, 0.0000, 0.8656) and Y at (0.5000, 0.5000, 0.0000).

The volume is 431.55 Å³/f.u. The calculation puts the formation energy at 234 meV/atom.



Respective calculated total energy values: -5.2641, -5.5284, -4.6261, -4.9093, -5.3545, -5.1153, -4.8859, -4.9204, -5.0339, -5.3197, -5.1827, -5.5182 eV/atom.